(1)
USiAs2 after structural relaxation, computed with PBE.

Cell and atoms, written as CIF:
```
data_USiAs2
_chemical_formula_sum 'U1 Si1 As2'
_space_group_name_H-M_alt 'P 1'
_space_group_IT_number 1
_cell_length_a 9.2593
_cell_length_b 9.2593
_cell_length_c 9.2593
_cell_angle_alpha 20.36
_cell_angle_beta 20.36
_cell_angle_gamma 20.36
loop_
_space_group_symop_operation_xyz
'x,y,z'
loop_
_atom_site_label
_atom_site_fract_x
_atom_site_fract_y
_atom_site_fract_z
U1 0.0000 0.0000 0.0000
Si1 0.5000 0.5000 0.5000
As1 0.1074 0.1074 0.1074
As2 0.8926 0.8926 0.8926
```

Summary:
The energy relative to the elements, uncorrected comes out at 337 meV/atom.

---

(2)
La3Y7Er2 after structural relaxation, computed with PBE.

Cell and atoms, written as CIF:
```
data_La3Y7Er2
_chemical_formula_sum 'La3 Y7 Er2'
_space_group_name_H-M_alt 'P 1'
_space_group_IT_number 1
_cell_length_a 19.4871
_cell_length_b 19.4871
_cell_length_c 3.6107
_cell_angle_alpha 90.00
_cell_angle_beta 90.00
_cell_angle_gamma 162.88
loop_
_space_group_symop_operation_xyz
'x,y,z'
loop_
_atom_site_label
_atom_site_fract_x
_atom_site_fract_y
_atom_site_fract_z
La1 0.0000 0.0000 0.0000
La2 0.3163 0.6837 0.5000
La3 0.6837 0.3163 0.5000
Y1 0.0726 0.9274 0.5000
Y2 0.2298 0.7702 0.0000
Y3 0.4097 0.5903 0.0000
Y4 0.5000 0.5000 0.5000
Y5 0.5903 0.4097 0.0000
Y6 0.7702 0.2298 0.0000
Y7 0.9274 0.0726 0.5000
Er1 0.1457 0.8543 0.0000
Er2 0.8543 0.1457 0.0000
```

Summary:
The calculation puts the raw total energy at -67.77 eV for the cell shown.

---

(3)
BeRe2NF after structural relaxation, computed with PBE.

Cell and atoms, written as CIF:
```
data_BeRe2NF
_chemical_formula_sum 'Be1 Re2 N1 F1'
_space_group_name_H-M_alt 'P 1'
_space_group_IT_number 1
_cell_length_a 4.4536
_cell_length_b 4.4536
_cell_length_c 2.9779
_cell_angle_alpha 90.00
_cell_angle_beta 90.00
_cell_angle_gamma 90.00
loop_
_space_group_symop_operation_xyz
'x,y,z'
loop_
_atom_site_label
_atom_site_fract_x
_atom_site_fract_y
_atom_site_fract_z
Be1 0.0000 0.0000 0.0000
Re1 0.0000 0.5000 0.0000
Re2 0.5000 0.0000 0.0000
N1 0.0000 0.0000 0.5000
F1 0.5000 0.5000 0.5000
```

Summary:
The energy relative to the elements, uncorrected comes out at 1406 meV/atom.

---

(4)
Zr2Ti2Bi after structural relaxation, computed with PBE.

Cell and atoms, written as CIF:
```
data_Zr2Ti2Bi
_chemical_formula_sum 'Zr4 Ti4 Bi2'
_space_group_name_H-M_alt 'P 1'
_space_group_IT_number 1
_cell_length_a 7.3806
_cell_length_b 7.3806
_cell_length_c 3.9148
_cell_angle_alpha 90.00
_cell_angle_beta 90.00
_cell_angle_gamma 90.00
loop_
_space_group_symop_operation_xyz
'x,y,z'
loop_
_atom_site_label
_atom_site_fract_x
_atom_site_fract_y
_atom_site_fract_z
Zr1 0.1718 0.3282 0.0000
Zr2 0.3282 0.8282 0.0000
Zr3 0.6718 0.1718 0.0000
Zr4 0.8282 0.6718 0.0000
Ti1 0.1253 0.6253 0.5000
Ti2 0.3747 0.1253 0.5000
Ti3 0.6253 0.8747 0.5000
Ti4 0.8747 0.3747 0.5000
Bi1 0.0000 0.0000 0.5000
Bi2 0.5000 0.5000 0.5000
```

Summary:
The calculation puts the raw total energy at -73.93 eV for the cell shown.

---

Per-record spin magnetization, μB/atom: 0.700 0.000 0.187 0.000